w | DFT (GGA-PBE) results for NbIr3Se after structural relaxation.

Cell: 4.5634 4.5634 4.5634 Å, 90.00 90.00 90.00°
Fractional positions:
1 Nb 0.0000 0.0000 0.0000
2 Ir 0.0000 0.5000 0.5000
3 Ir 0.5000 0.0000 0.5000
4 Ir 0.5000 0.5000 0.0000
5 Se 0.5000 0.5000 0.5000

## Properties
DOS(E_F)	15.4	states/eV/cell
total moment	0.0	μB/f.u.
ρ	13.079	Mg/m³
space-group type	Pm-3m, No. 221



x | DFT (GGA-PBE) results for NbIr3Se after structural relaxation.

Cell: 4.7955 4.7955 4.7955 Å, 90.00 90.00 90.00°
Fractional positions:
1 Nb 0.0000 0.0000 0.0000
2 Ir 0.0000 0.0000 0.5000
3 Ir 0.0000 0.5000 0.0000
4 Ir 0.5000 0.0000 0.0000
5 Se 0.5000 0.5000 0.5000

## Properties
DOS(E_F)	5.5	states/eV/cell
total moment	0.0	μB/f.u.
ρ	11.271	Mg/m³
space-group type	Pm-3m, No. 221



Which one is most stable, and which one is least stable? w is the most stable of them, while x is the least stable.



w | DFT (GGA-PBE) results for Nb3IrSe after structural relaxation.

Cell: 4.6596 4.6596 4.6596 Å, 90.00 90.00 90.00°
Fractional positions:
1 Nb 0.0000 0.0000 0.5000
2 Nb 0.0000 0.5000 0.0000
3 Nb 0.5000 0.0000 0.0000
4 Ir 0.5000 0.5000 0.5000
5 Se 0.0000 0.0000 0.0000

## Properties
DOS(E_F)	8.7	states/eV/cell
total moment	0.0	μB/f.u.
ρ	9.026	Mg/m³
space-group type	Pm-3m, No. 221



x | DFT (GGA-PBE) results for Nb3IrSe after structural relaxation.

Cell: 4.8884 4.8884 4.8884 Å, 90.00 90.00 90.00°
Fractional positions:
1 Nb 0.0000 0.0000 0.5000
2 Nb 0.0000 0.5000 0.0000
3 Nb 0.5000 0.0000 0.0000
4 Ir 0.0000 0.0000 0.0000
5 Se 0.5000 0.5000 0.5000

## Properties
DOS(E_F)	6.7	states/eV/cell
total moment	0.0	μB/f.u.
ρ	7.817	Mg/m³
space-group type	Pm-3m, No. 221



Which one is most stable, and which one is least stable? w is the most stable of them, while x is the least stable.



w | DFT (GGA-PBE) results for SrNbIr2Se after structural relaxation.

Cell: 4.6972 4.6972 6.6854 Å, 90.00 90.00 90.00°
Fractional positions:
1 Sr 0.0000 0.0000 0.0000
2 Nb 0.0000 0.0000 0.5000
3 Ir 0.0000 0.5000 0.5000
4 Ir 0.5000 0.0000 0.5000
5 Se 0.5000 0.5000 0.0000

## Properties
DOS(E_F)	4.5	states/eV/cell
total moment	0.1	μB/f.u.
ρ	7.249	Mg/m³
space-group type	P4/mmm, No. 123



x | DFT (GGA-PBE) results for SrNbIr2Se after structural relaxation.

Cell: 4.9334 4.9334 5.0909 Å, 90.00 90.00 90.00°
Fractional positions:
1 Sr 0.0000 0.0000 0.0000
2 Nb 0.0000 0.0000 0.5000
3 Ir 0.0000 0.5000 0.0000
4 Ir 0.5000 0.0000 0.0000
5 Se 0.5000 0.5000 0.5000

## Properties
DOS(E_F)	9.2	states/eV/cell
total moment	0.0	μB/f.u.
ρ	8.630	Mg/m³
space-group type	P4/mmm, No. 123



y | DFT (GGA-PBE) results for SrNbIr2Se after structural relaxation.

Cell: 4.6895 4.6895 5.3027 Å, 90.00 90.00 90.00°
Fractional positions:
1 Sr 0.0000 0.0000 0.0000
2 Nb 0.5000 0.5000 0.0000
3 Ir 0.0000 0.5000 0.5000
4 Ir 0.5000 0.0000 0.5000
5 Se 0.0000 0.0000 0.5000

## Properties
DOS(E_F)	7.6	states/eV/cell
total moment	3.1	μB/f.u.
ρ	9.169	Mg/m³
space-group type	P4/mmm, No. 123



Which one is most stable, and which one is least stable? w is the most stable of them, while x is the least stable.